Record 1
A relaxed structure of B2PRhW, computed with PBE-GGA.

Results
ΔH_f (0 K): 1.202 eV per atom

a b c (Å): 3.8207 3.8207 5.3254
angles (deg): 90.00 90.00 90.00
Last column: nearest neighbours and their distance in Å.
Space group P4/mmm (No. 123)
Unique sites:
B 0.0000 0.5000 0.0000 [2 per cell]  2 Rh 1.91
P 0.0000 0.0000 0.5000 [1 per cell]  4 W 2.70
Rh 0.5000 0.5000 0.0000 [1 per cell]  4 B 1.91
W 0.5000 0.5000 0.5000 [1 per cell]  2 Rh 2.66, 4 P 2.70

---

Record 2
A relaxed structure of GeAsAu, computed with PBE-GGA.

Results
Offset from the most stable computed form: 144 meV per atom
ΔH_f (0 K): 0.063 eV per atom

a b c (Å): 3.8430 6.4213 6.8533
angles (deg): 72.43 89.27 72.74
Last column: nearest neighbours and their distance in Å.
Space group P-1 (No. 2)
Unique sites:
Ge 0.1991 0.0883 0.1829 [2 per cell]  1 Au 2.44, 3 As 2.50-2.60
As 0.1678 0.1811 0.7857 [2 per cell]  3 Ge 2.50-2.60, 2 Au 2.63-2.72
Au 0.0611 0.3681 0.3701 [2 per cell]  1 Ge 2.44, 2 As 2.63-2.72

---

Record 3
A relaxed structure of La2HoTl, computed with PBE-GGA.

Results
Offset from the most stable computed form: 28 meV per atom
ΔH_f (0 K): -0.179 eV per atom

a b c (Å): 6.9225 5.3901 7.1128
angles (deg): 90.00 103.71 90.00
Last column: nearest neighbours and their distance in Å.
Space group P2_1/m (No. 11)
Unique sites:
La 0.1365 0.2500 0.4081 [2 per cell]  4 Tl 3.43-3.71, 6 La 3.51-3.83, 3 Ho 3.61-3.66
La 0.1585 0.2500 0.9205 [2 per cell]  6 La 3.51-3.83, 4 Ho 3.54-3.69, 3 Tl 3.54-3.62
Ho 0.3893 0.7500 0.2293 [2 per cell]  2 Tl 3.13
Tl 0.3737 0.7500 0.7191 [2 per cell]  2 Ho 3.13, 1 La 3.43

---

Record 4
A relaxed structure of Pm3SiSCl, computed with PBE-GGA.

Results
Energy: -5.6448 eV per atom

a b c (Å): 7.5760 4.0107 10.8248
angles (deg): 90.00 107.98 90.00
Last column: nearest neighbours and their distance in Å.
Space group P2_1/m (No. 11)
Unique sites:
Pm 0.1712 0.2500 0.1509 [2 per cell]  2 S 2.81, 1 Cl 3.02, 2 Si 3.15
Pm 0.2013 0.2500 0.4905 [2 per cell]  3 Cl 2.92-3.07, 3 Si 2.96-3.04
Pm 0.3089 0.7500 0.8354 [2 per cell]  3 S 2.80-2.88, 1 Cl 2.94, 2 Si 3.05
Si 0.0095 0.2500 0.6992 [2 per cell]  7 Pm 2.96-3.15
S 0.4045 0.7500 0.1064 [2 per cell]  5 Pm 2.80-2.88
Cl 0.4746 0.7500 0.6231 [2 per cell]  5 Pm 2.92-3.07

---

Record 5
A relaxed structure of SnBi2Pb, computed with PBE-GGA.

Results
Offset from the most stable computed form: 18 meV per atom
ΔH_f (0 K): 0.089 eV per atom

a b c (Å): 4.3885 4.3885 24.1844
angles (deg): 90.00 90.00 120.00
Last column: nearest neighbours and their distance in Å.
Space group R3m (No. 160, hexagonal axes)
Unique sites:
Sn 0.0000 0.0000 0.0000 [3 per cell]  6 Bi 3.16-3.17
Bi 0.0000 0.0000 0.4115 [3 per cell]  3 Sn 3.16, 3 Pb 3.31
Bi 0.0000 0.0000 0.5880 [3 per cell]  3 Sn 3.17, 3 Pb 3.32
Pb 0.0000 0.0000 0.8327 [3 per cell]  6 Bi 3.31-3.32

---

Record 6
A relaxed structure of DyAlCoRh, computed with PBE-GGA.

Results
ΔH_f (0 K): -0.572 eV per atom

a b c (Å): 6.3474 6.3474 6.3474
angles (deg): 90.00 90.00 90.00
Last column: nearest neighbours and their distance in Å.
Space group F-43m (No. 216)
Unique sites:
Dy 0.0000 0.0000 0.0000 [4 per cell]  4 Co 2.75, 4 Rh 2.75
Al 0.0000 0.0000 0.5000 [4 per cell]  4 Co 2.75, 4 Rh 2.75
Co 0.2500 0.2500 0.7500 [4 per cell]  4 Dy 2.75, 4 Al 2.75
Rh 0.2500 0.2500 0.2500 [4 per cell]  4 Al 2.75, 4 Dy 2.75

---

In the order shown, the computed M_tot values come out to 0.00 0.00 0.00 0.00 0.00 0.00 μB per formula unit.